a) Crystalline Cs2PdBr at its relaxed geometry, computed with GGA-PBE.

Cell and atoms, written as POSCAR:
```
Cs2PdBr
1.0
-4.635 -5.595 -2.698
6.188 -4.453 -1.397
0.228 -8.050 5.172
Br Pd Cs
2 2 4
Direct
0.500 0.500 0.000
0.250 0.750 0.500
0.000 0.000 0.000
0.750 0.250 0.500
0.875 0.910 0.750
0.375 0.340 0.750
0.660 0.125 0.250
0.090 0.625 0.250
```

Symmetry: No. 122
Fermi-level density of states in states/eV per cell: 0.79

b) Crystalline Cs2PdBr at its relaxed geometry, computed with GGA-PBE.

Cell and atoms, written as POSCAR:
```
Cs2PdBr
1.0
0.000 4.284 4.284
4.284 0.000 4.284
4.284 4.284 0.000
Cs Pd Br
2 1 1
Direct
0.250 0.250 0.250
0.750 0.750 0.750
0.500 0.500 0.500
0.000 0.000 0.000
```

Symmetry: No. 225
Fermi-level density of states in states/eV per cell: 1.99

The structure with the least stability is a).

a) Crystalline CsPd2Br6 at its relaxed geometry, computed with GGA-PBE.

Cell and atoms, written as POSCAR:
```
CsPd2Br6
1.0
5.087 -0.613 -0.494
-0.309 11.894 -2.412
-0.824 -3.635 11.554
Br Pd Cs
12 4 2
Direct
0.943 0.512 0.143
0.057 0.488 0.857
0.443 0.143 0.512
0.189 0.817 0.963
0.052 0.699 0.592
0.448 0.408 0.301
0.552 0.592 0.699
0.689 0.963 0.817
0.948 0.301 0.408
0.311 0.037 0.183
0.811 0.183 0.037
0.557 0.857 0.488
0.934 0.398 0.263
0.566 0.737 0.602
0.434 0.263 0.398
0.066 0.602 0.737
0.750 0.813 0.187
0.250 0.187 0.813
```

Symmetry: No. 15
Fermi-level density of states in states/eV per cell: 5.25

b) Crystalline CsPd2Br6 at its relaxed geometry, computed with GGA-PBE.

Cell and atoms, written as POSCAR:
```
CsPd2Br6
1.0
-0.647 6.820 -0.465
-2.782 -3.359 5.304
6.956 0.950 4.250
Pd Br Cs
2 6 1
Direct
0.667 0.333 0.500
0.333 0.667 0.500
0.372 0.372 0.320
0.628 0.000 0.320
0.000 0.628 0.320
0.372 0.000 0.680
0.628 0.628 0.680
0.000 0.372 0.680
0.000 0.000 0.000
```

Symmetry: No. 162
Fermi-level density of states in states/eV per cell: 4.08

The structure with the least stability is a).

a) Crystalline Cs2RbPdBr6 at its relaxed geometry, computed with GGA-PBE.

Cell and atoms, written as POSCAR:
```
Cs2RbPdBr6
1.0
-4.227 -1.740 6.287
3.500 -1.107 6.851
-1.787 14.927 7.734
Br Rb Cs Pd
12 2 4 2
Direct
0.282 0.812 0.094
0.188 0.188 0.906
0.153 0.628 0.592
0.628 0.628 0.592
0.812 0.282 0.094
0.372 0.847 0.408
0.718 0.188 0.906
0.812 0.812 0.094
0.847 0.372 0.408
0.188 0.718 0.906
0.372 0.372 0.408
0.628 0.153 0.592
0.585 0.585 0.245
0.415 0.415 0.755
0.861 0.861 0.417
0.307 0.307 0.078
0.693 0.693 0.922
0.139 0.139 0.583
0.500 0.500 0.500
0.000 0.000 0.000
```

Symmetry: No. 166
Fermi-level density of states in states/eV per cell: 8.68

b) Crystalline Cs2RbPdBr6 at its relaxed geometry, computed with GGA-PBE.

Cell and atoms, written as POSCAR:
```
Cs2RbPdBr6
1.0
-2.198 7.897 0.991
-7.953 -2.139 -0.597
-5.298 2.092 5.977
Rb Br Cs Pd
1 6 2 1
Direct
0.500 0.500 0.000
0.221 0.221 0.000
0.779 0.779 0.000
0.779 0.221 0.000
0.779 0.779 0.442
0.221 0.779 0.000
0.221 0.221 0.558
0.750 0.250 0.500
0.250 0.750 0.500
0.000 0.000 0.000
```

Symmetry: No. 225
Fermi-level density of states in states/eV per cell: 7.56

The structure with the least stability is b).

a) Crystalline Cs2ScPdBr6 at its relaxed geometry, computed with GGA-PBE.

Cell and atoms, written as POSCAR:
```
Cs2ScPdBr6
1.0
7.799 0.000 0.000
3.900 6.754 0.000
3.900 2.251 12.899
Sc Pd Br Cs
2 2 12 4
Direct
0.415 0.415 0.754
0.585 0.585 0.246
0.500 0.500 0.500
0.000 0.000 0.000
0.382 0.382 0.369
0.867 0.382 0.369
0.298 0.787 0.129
0.213 0.213 0.871
0.618 0.618 0.631
0.787 0.787 0.129
0.618 0.133 0.631
0.213 0.702 0.871
0.702 0.213 0.871
0.382 0.867 0.369
0.787 0.298 0.129
0.133 0.618 0.631
0.705 0.705 0.884
0.123 0.123 0.631
0.295 0.295 0.116
0.877 0.877 0.369
```

Symmetry: No. 166
Fermi-level density of states in states/eV per cell: 11.51

b) Crystalline Cs2ScPdBr6 at its relaxed geometry, computed with GGA-PBE.

Cell and atoms, written as POSCAR:
```
Cs2ScPdBr6
1.0
-0.015 -4.493 -6.412
7.644 1.377 -0.983
4.982 -5.879 -0.672
Cs Br Pd Sc
2 6 1 1
Direct
0.750 0.250 0.500
0.250 0.750 0.500
0.750 0.750 0.501
0.250 0.250 0.499
0.258 0.742 0.000
0.742 0.742 0.000
0.258 0.258 0.000
0.742 0.258 0.000
0.000 0.000 0.000
0.500 0.500 0.000
```

Symmetry: No. 139
Fermi-level density of states in states/eV per cell: 4.37

The structure with the least stability is b).

a) Crystalline CsPmBr3 at its relaxed geometry, computed with GGA-PBE.

Cell and atoms, written as POSCAR:
```
CsPmBr3
1.0
6.711 0.000 0.000
0.000 12.378 -7.146
0.000 0.000 14.293
Pm Br Cs
6 18 6
Direct
0.446 0.000 0.000
0.895 0.667 0.333
0.395 0.667 0.333
0.395 0.333 0.667
0.895 0.333 0.667
0.946 0.000 0.000
0.196 0.172 0.172
0.645 0.839 0.333
0.196 0.000 0.828
0.645 0.333 0.839
0.645 0.506 0.667
0.696 0.172 0.000
0.645 0.161 0.494
0.145 0.667 0.161
0.696 0.828 0.828
0.696 0.000 0.172
0.145 0.161 0.667
0.145 0.333 0.494
0.145 0.494 0.333
0.196 0.828 0.000
0.145 0.839 0.506
0.145 0.506 0.839
0.645 0.667 0.506
0.645 0.494 0.161
0.160 0.335 0.000
0.160 0.000 0.335
0.160 0.665 0.665
0.660 0.000 0.665
0.660 0.335 0.335
0.660 0.665 0.000
```

Symmetry: No. 185
Fermi-level density of states in states/eV per cell: 11.94

b) Crystalline CsPmBr3 at its relaxed geometry, computed with GGA-PBE.

Cell and atoms, written as POSCAR:
```
CsPmBr3
1.0
5.812 0.000 0.000
0.000 5.812 0.000
0.000 0.000 5.812
Pm Br Cs
1 3 1
Direct
0.000 0.000 0.000
0.500 0.000 0.000
0.000 0.500 0.000
0.000 0.000 0.500
0.500 0.500 0.500
```

Symmetry: No. 221
Fermi-level density of states in states/eV per cell: 3.27

The structure with the least stability is b).

a) Crystalline CsPt2Br at its relaxed geometry, computed with GGA-PBE.

Cell and atoms, written as POSCAR:
```
CsPt2Br
1.0
-2.225 -2.838 4.212
5.070 -0.968 2.027
0.968 5.117 7.608
Cs Pt Br
2 4 2
Direct
0.000 0.000 0.000
0.750 0.250 0.500
0.375 0.625 0.250
0.875 0.625 0.750
0.375 0.625 0.750
0.375 0.125 0.250
0.250 0.750 0.500
0.500 0.500 0.000
```

Symmetry: No. 141
Fermi-level density of states in states/eV per cell: 5.95

b) Crystalline CsPt2Br at its relaxed geometry, computed with GGA-PBE.

Cell and atoms, written as POSCAR:
```
CsPt2Br
1.0
-4.665 -0.752 -2.015
-3.804 3.295 1.030
-1.746 3.136 -3.674
Pt Cs Br
2 1 1
Direct
0.250 0.250 0.250
0.750 0.750 0.750
0.500 0.500 0.500
0.000 0.000 0.000
```

Symmetry: No. 225
Fermi-level density of states in states/eV per cell: 0.87

The structure with the least stability is b).

a) Crystalline Cs4PtBr2 at its relaxed geometry, computed with GGA-PBE.

Cell and atoms, written as POSCAR:
```
Cs4PtBr2
1.0
4.688 0.000 1.268
1.590 8.104 3.423
-0.052 0.058 9.495
Cs Br Pt
4 2 1
Direct
0.039 0.273 0.648
0.961 0.727 0.352
0.661 0.758 0.920
0.339 0.242 0.080
0.359 0.591 0.691
0.641 0.409 0.309
0.000 0.000 0.000
```

Symmetry: No. 12

b) Crystalline Cs4PtBr2 at its relaxed geometry, computed with GGA-PBE.

Cell and atoms, written as POSCAR:
```
Cs4PtBr2
1.0
6.478 0.000 0.000
0.000 6.478 0.000
3.239 3.239 9.477
Pt Br Cs
1 2 4
Direct
0.000 0.000 0.000
0.638 0.638 0.724
0.362 0.362 0.276
0.827 0.827 0.345
0.500 0.000 0.000
0.173 0.173 0.655
0.000 0.500 0.000
```

Symmetry: No. 139

The structure with the least stability is b).

a) Crystalline CsPtBr2 at its relaxed geometry, computed with GGA-PBE.

Cell and atoms, written as POSCAR:
```
CsPtBr2
1.0
2.533 0.000 9.001
-1.266 2.193 9.001
-1.266 -2.193 9.001
Br Cs Pt
2 1 1
Direct
0.876 0.876 0.876
0.124 0.124 0.124
0.000 0.000 0.000
0.500 0.500 0.500
```

Symmetry: No. 166
Fermi-level density of states in states/eV per cell: 4.32

b) Crystalline CsPtBr2 at its relaxed geometry, computed with GGA-PBE.

Cell and atoms, written as POSCAR:
```
CsPtBr2
1.0
6.504 0.000 0.000
0.000 6.504 0.000
3.252 3.252 7.614
Cs Pt Br
2 2 4
Direct
0.250 0.750 0.500
0.500 0.500 0.000
0.000 0.000 0.000
0.750 0.250 0.500
0.375 0.224 0.750
0.776 0.125 0.250
0.974 0.625 0.250
0.875 0.026 0.750
```

Symmetry: No. 122
Fermi-level density of states in states/eV per cell: 4.98

The structure with the least stability is a).

a) Crystalline CsPtBr2 at its relaxed geometry, computed with GGA-PBE.

Cell and atoms, written as POSCAR:
```
CsPtBr2
1.0
5.478 -0.535 -0.640
2.442 -4.873 0.994
2.019 -2.996 -4.201
Br Cs Pt
2 1 1
Direct
0.750 0.750 0.750
0.250 0.250 0.250
0.000 0.000 0.000
0.500 0.500 0.500
```

Symmetry: No. 225
Fermi-level density of states in states/eV per cell: 7.07

b) Crystalline CsPtBr2 at its relaxed geometry, computed with GGA-PBE.

Cell and atoms, written as POSCAR:
```
CsPtBr2
1.0
-2.725 -6.098 3.313
3.092 -4.886 4.706
-1.392 -1.550 7.158
Cs Br Pt
1 2 1
Direct
0.500 0.500 0.500
0.119 0.119 0.119
0.881 0.881 0.881
0.000 0.000 0.000
```

Symmetry: No. 166
Fermi-level density of states in states/eV per cell: 4.61

The structure with the least stability is a).

a) Crystalline CsPtBr at its relaxed geometry, computed with GGA-PBE.

Cell and atoms, written as POSCAR:
```
CsPtBr
1.0
6.923 1.118 1.682
4.505 5.179 1.520
3.398 1.402 7.714
Cs Br Pt
2 2 2
Direct
0.271 0.296 0.216
0.729 0.704 0.784
0.937 0.058 0.259
0.063 0.942 0.741
0.580 0.415 0.653
0.420 0.585 0.347
```

Symmetry: No. 2
Fermi-level density of states in states/eV per cell: 0.78

b) Crystalline CsPtBr at its relaxed geometry, computed with GGA-PBE.

Cell and atoms, written as POSCAR:
```
CsPtBr
1.0
-2.176 -0.606 8.205
-0.743 -6.434 -1.967
3.739 0.438 1.026
Cs Br Pt
2 2 2
Direct
0.485 0.466 0.014
0.022 0.140 0.351
0.068 0.622 0.093
0.654 0.021 0.792
0.439 0.961 0.263
0.247 0.818 0.691
```

Symmetry: No. 8
Fermi-level density of states in states/eV per cell: 0.00

The structure with the least stability is a).

a) Crystalline Cs2PtBr at its relaxed geometry, computed with GGA-PBE.

Cell and atoms, written as POSCAR:
```
Cs2PtBr
1.0
-4.823 -1.277 5.314
1.468 -7.130 -0.381
4.353 -3.266 8.166
Cs Br Pt
4 2 2
Direct
0.681 0.125 0.250
0.375 0.319 0.750
0.069 0.625 0.250
0.875 0.931 0.750
0.250 0.750 0.500
0.500 0.500 0.000
0.750 0.250 0.500
0.000 0.000 0.000
```

Symmetry: No. 122
Fermi-level density of states in states/eV per cell: 0.13

b) Crystalline Cs2PtBr at its relaxed geometry, computed with GGA-PBE.

Cell and atoms, written as POSCAR:
```
Cs2PtBr
1.0
0.000 4.384 4.384
4.384 0.000 4.384
4.384 4.384 0.000
Pt Br Cs
1 1 2
Direct
0.500 0.500 0.500
0.000 0.000 0.000
0.750 0.750 0.750
0.250 0.250 0.250
```

Symmetry: No. 225
Fermi-level density of states in states/eV per cell: 8.98

The structure with the least stability is a).